[1]
A relaxed structure of Zn2Pb2O5, computed with PBE.

Structure (POSCAR):
```
Zn2Pb2O5
1.0
-6.0097 2.8660 3.4216
-0.3980 -3.2823 2.0503
2.2853 1.4641 2.7874
O Pb Zn
5 2 2
Cartesian
-1.2636 -1.1334 1.6313
-5.1440 0.7171 3.8406
0.0780 1.2398 1.9999
-3.8024 3.0904 4.2092
-2.0612 0.5239 4.1297
0.0000 0.0000 0.0000
-3.0048 1.4330 1.7108
-0.5008 -0.2203 3.2413
-3.6216 1.2681 5.0181
```

Summary:
- ΔE to the lowest computed polymorph: 0.0 meV/atom
- Crystal system: tetragonal
- Space-group type: No. 123

[2]
A relaxed structure of HfZr2Ir, computed with PBE.

Structure (POSCAR):
```
HfZr2Ir
1.0
0.0000 3.3762 3.3762
3.3762 0.0000 3.3762
3.3762 3.3762 0.0000
Hf Ir Zr
1 1 2
Cartesian
3.3762 3.3762 3.3762
1.6881 1.6881 1.6881
0.0000 0.0000 0.0000
5.0642 5.0642 5.0642
```

Summary:
- M_tot: 0.1 μB per formula unit
- Crystal system: cubic
- Formation enthalpy at 0 K: -0.36 eV per atom
- Space-group type: No. 216

[3]
A relaxed structure of DyTmGe2Pt4, computed with PBE.

Structure (POSCAR):
```
DyTmGe2Pt4
1.0
-4.3565 -0.2913 0.0465
2.3008 -1.1188 3.5384
-0.5381 8.5356 3.0488
Dy Ge Pt Tm
1 2 4 1
Cartesian
0.0817 -0.8430 2.3745
-2.2724 1.5753 1.9757
-2.5404 5.8260 3.4940
-0.0894 1.4184 0.5066
-0.0998 2.0367 3.4030
-0.2748 4.8130 4.3947
-0.4487 7.1172 2.5421
-0.2691 4.2678 1.5244
```

Summary:
- M_tot: 0.0 μB per formula unit
- VASP energy: -6.30 eV per atom
- Crystal system: hexagonal
- Space-group type: No. 187

[4]
A relaxed structure of Y3In3AgIrPt, computed with PBE.

Structure (POSCAR):
```
Y3In3AgIrPt
1.0
-5.3865 4.7073 -3.0999
-0.1489 -1.6032 7.6283
2.2423 3.0115 0.6767
Ag In Ir Pt Y
1 3 1 1 3
Cartesian
1.1212 1.5057 0.3383
-1.4828 0.8291 1.2237
-0.1167 -1.1671 5.5807
-4.0849 1.8389 5.3522
-1.8948 0.5003 4.0522
-3.6407 2.6038 0.4762
1.0106 0.8814 3.4831
-2.1133 3.3043 3.0521
-1.2182 1.8324 6.6364
```

Summary:
- M_tot: 0.0 μB per formula unit
- VASP energy: -5.76 eV per atom
- Crystal system: hexagonal
- Space-group type: No. 174